Entry 1:
An optimized crystal structure of Na3In2Au, computed with GGA-PBE.

Values from the calculation:
- ΔH_f (0 K): -0.14 eV/atom
- Relative energy among the computed polymorphs: 0.0990 eV/atom

Lattice parameters (Å, degrees): 9.952 9.952 9.952 143.93 50.42 145.98
Atoms (fractional coordinates):
Na1 0.191 0.153 0.344
Na2 0.250 0.250 0.000
Na3 0.309 0.653 0.963
Na4 0.691 0.347 0.037
Na5 0.750 0.750 0.000
Na6 0.809 0.847 0.656
In1 0.127 0.646 0.774
In2 0.373 0.146 0.519
In3 0.627 0.854 0.481
In4 0.873 0.354 0.226
Au1 0.250 0.750 0.500
Au2 0.750 0.250 0.500

***

Entry 2:
An optimized crystal structure of FeAsOs, computed with GGA-PBE.

Values from the calculation:
- ΔH_f (0 K): 0.55 eV/atom
- Relative energy among the computed polymorphs: 0.3680 eV/atom

Lattice parameters (Å, degrees): 6.776 6.509 2.787 83.31 72.58 24.11
Atoms (fractional coordinates):
Fe1 0.000 0.000 0.000
As1 0.665 0.665 0.335
Os1 0.338 0.338 0.662

***

Entry 3:
An optimized crystal structure of AcGeRu2, computed with GGA-PBE.

Values from the calculation:
- ΔH_f (0 K): 0.09 eV/atom
- Relative energy among the computed polymorphs: 0.3246 eV/atom

Lattice parameters (Å, degrees): 3.278 3.278 7.070 90.00 90.00 90.00
Atoms (fractional coordinates):
Ac1 0.000 0.000 0.000
Ge1 0.000 0.000 0.500
Ru1 0.500 0.500 0.309
Ru2 0.500 0.500 0.691